Density functional theory data (PBE) for an optimized crystal structure of LiLaTa.

Structure (extended XYZ):
```
3
Lattice="-1.5174 1.5174 7.4069 1.5174 -1.5174 7.4069 1.5174 1.5174 -7.4069" Properties=species:S:1:pos:R:3 pbc="T T T"
Li 0.0000 0.0000 0.0000
La 0.0000 0.0000 4.5746
Ta 0.0000 0.0000 9.5211
```

## Properties
* offset from the most stable computed form: 0.00 eV per formula unit
* N(E_F): 2.4 states/eV per cell
* calculated formation energy: 0.469 eV per atom
* raw total energy: -5.763 eV/atom
* mass density: 7.95 Mg/m³

Density functional theory data (PBE) for an optimized crystal structure of TlAgSbAu.

Structure (extended XYZ):
```
4
Lattice="0.0000 3.5898 3.5898 3.5898 0.0000 3.5898 3.5898 3.5898 0.0000" Properties=species:S:1:pos:R:3 pbc="T T T"
Tl 0.0000 0.0000 0.0000
Ag 5.3847 5.3847 5.3847
Sb 3.5898 3.5898 3.5898
Au 1.7949 1.7949 1.7949
```

## Properties
* formation energy without anion corrections: 49 kJ/mol of formula units
* N(E_F): 2.5 states/eV per cell
* raw total energy: -3.028 eV/atom
* mass density: 11.32 Mg/m³

Density functional theory data (PBE) for an optimized crystal structure of CdInSb2.

Structure (extended XYZ):
```
4
Lattice="3.3410 0.0000 0.0000 0.0000 5.3648 0.0000 0.0000 0.0000 6.0496" Properties=species:S:1:pos:R:3 pbc="T T T"
Cd 0.0000 0.0000 0.0000
In 1.6705 2.6824 3.0248
Sb 0.0000 0.0000 3.0248
Sb 1.6705 2.6824 0.0000
```

## Properties
* formation energy without anion corrections: 16 kJ/mol of formula units
* N(E_F): 2.5 states/eV per cell
* raw total energy: -2.933 eV/atom
* mass density: 7.21 Mg/m³

Density functional theory data (PBE) for an optimized crystal structure of AcAs2Au4.

Structure (extended XYZ):
```
7
Lattice="2.1836 -7.9416 0.0000 2.1836 7.9416 0.0000 0.0000 0.0000 4.3352" Properties=species:S:1:pos:R:3 pbc="T T T"
Ac 0.0000 0.0000 0.0000
As 2.1836 1.3524 2.1676
As 2.1836 -1.3524 2.1676
Au 2.1836 4.9905 2.1676
Au 2.1836 2.9580 0.0000
Au 2.1836 -2.9580 0.0000
Au 2.1836 -4.9905 2.1676
```

## Properties
* offset from the most stable computed form: 0.20 eV per formula unit
* N(E_F): 2.7 states/eV per cell
* calculated formation energy: -0.400 eV per atom
* raw total energy: -4.188 eV/atom
* mass density: 12.86 Mg/m³

Density functional theory data (PBE) for an optimized crystal structure of Np3Nb2MoC6.

Structure (extended XYZ):
```
12
Lattice="2.8132 -4.8700 0.0000 2.8132 4.8700 0.0000 -1.8735 0.0000 5.5656" Properties=species:S:1:pos:R:3 pbc="T T T"
Np 0.0000 0.0000 0.0000
Np 2.8132 1.6300 0.0000
Np 2.8132 -1.6300 0.0000
Nb 1.8764 3.2478 2.7828
Nb 1.8764 -3.2478 2.7828
Mo 1.8764 0.0000 2.7828
C 0.9447 1.6127 1.5153
C 0.0128 0.0000 4.0552
C 0.9447 -1.6127 1.5153
C 2.8082 1.6127 4.0504
C 3.7401 0.0000 1.5105
C 2.8082 -1.6127 4.0504
```

## Properties
* N(E_F): 10.0 states/eV per cell
* calculated formation energy: -0.216 eV per atom
* raw total energy: -10.644 eV/atom
* mass density: 11.59 Mg/m³

Density functional theory data (PBE) for an optimized crystal structure of Sc4InRu3.

Structure (extended XYZ):
```
8
Lattice="4.6088 0.0000 0.0000 0.0000 4.6088 0.0000 0.0000 0.0000 6.7242" Properties=species:S:1:pos:R:3 pbc="T T T"
Sc 0.0000 2.3044 1.5482
Sc 0.0000 2.3044 5.1760
Sc 2.3044 0.0000 1.5482
Sc 2.3044 0.0000 5.1760
In 0.0000 0.0000 3.3621
Ru 0.0000 0.0000 0.0000
Ru 2.3044 2.3044 0.0000
Ru 2.3044 2.3044 3.3621
```

## Properties
* N(E_F): 4.9 states/eV per cell
* calculated formation energy: -0.535 eV per atom
* raw total energy: -7.521 eV/atom
* mass density: 6.95 Mg/m³

Density functional theory data (PBE) for an optimized crystal structure of Sc2HgS.

Structure (extended XYZ):
```
4
Lattice="1.7968 1.0374 7.3679 -1.7968 1.0374 7.3679 0.0000 -2.0747 7.3679" Properties=species:S:1:pos:R:3 pbc="T T T"
Sc 0.0000 0.0000 5.1745
Sc 0.0000 0.0000 16.9291
Hg 0.0000 0.0000 0.0000
S 0.0000 0.0000 11.0518
```

## Properties
* formation energy without anion corrections: -439 kJ/mol of formula units
* offset from the most stable computed form: 0.00 eV per formula unit
* N(E_F): 2.1 states/eV per cell
* raw total energy: -5.411 eV/atom
* mass density: 6.50 Mg/m³

Density functional theory data (PBE) for an optimized crystal structure of PH2W.

Structure (extended XYZ):
```
8
Lattice="-2.3098 2.3098 3.7052 2.3098 -2.3098 3.7052 2.3098 2.3098 -3.7052" Properties=species:S:1:pos:R:3 pbc="T T T"
P 0.0000 0.0000 0.0000
P 0.0000 2.3098 1.8526
H 1.1549 -0.9722 2.7789
H 1.3377 1.1549 0.9263
H 1.1549 3.2820 -0.9263
H 0.9722 1.1549 4.6314
W 2.3098 0.0000 1.8526
W 0.0000 0.0000 3.7052
```

## Properties
* offset from the most stable computed form: 0.00 eV per formula unit
* N(E_F): 3.3 states/eV per cell
* raw total energy: -5.491 eV/atom
* mass density: 9.11 Mg/m³

Density functional theory data (PBE) for an optimized crystal structure of CrHgP.

Structure (extended XYZ):
```
3
Lattice="3.8864 0.0000 0.0000 -1.9432 3.3657 0.0000 0.0000 0.0000 3.9315" Properties=species:S:1:pos:R:3 pbc="T T T"
Cr 0.0000 0.0000 0.0000
Hg 0.0000 2.2438 1.9658
P 1.9432 1.1219 0.0000
```

## Properties
* offset from the most stable computed form: 1.03 eV per formula unit
* N(E_F): 2.3 states/eV per cell
* calculated formation energy: 0.266 eV per atom
* raw total energy: -4.846 eV/atom
* mass density: 9.16 Mg/m³

Density functional theory data (PBE) for an optimized crystal structure of Er3Ni2.

Structure (extended XYZ):
```
15
Lattice="4.2427 2.4495 5.2178 -4.2427 2.4495 5.2178 0.0000 -4.8991 5.2178" Properties=species:S:1:pos:R:3 pbc="T T T"
Er 0.0000 0.0000 0.0000
Er -2.0889 0.1487 6.3707
Er 0.0000 0.0000 3.2448
Er -1.1732 -1.7347 9.2827
Er 0.9157 -1.8834 6.3707
Er -0.9157 1.8834 9.2827
Er 1.1732 1.7347 6.3707
Er 0.0000 0.0000 12.4086
Er 2.0889 -0.1487 9.2827
Ni -1.5807 -3.0824 6.8258
Ni -3.4598 -0.1722 8.8276
Ni -1.8791 2.9101 6.8258
Ni 1.8790 -2.9101 8.8276
Ni 3.4598 0.1722 6.8258
Ni 1.5807 3.0824 8.8276
```

## Properties
* offset from the most stable computed form: 0.00 eV per formula unit
* N(E_F): 14.7 states/eV per cell
* calculated formation energy: -0.385 eV per atom
* raw total energy: -5.435 eV/atom
* mass density: 9.48 Mg/m³

Density functional theory data (PBE) for an optimized crystal structure of Mg8Ga2Si.

Structure (extended XYZ):
```
11
Lattice="8.1156 -2.3002 0.0000 8.1156 2.3002 0.0000 -2.4325 0.0000 6.1095" Properties=species:S:1:pos:R:3 pbc="T T T"
Mg -0.3003 0.0000 1.7242
Mg 1.3370 0.0000 4.8465
Mg 4.1085 0.0000 3.3736
Mg 6.4533 0.0000 0.3249
Mg 7.3453 0.0000 5.7846
Mg 9.6901 0.0000 2.7359
Mg 12.4616 0.0000 1.2630
Mg 14.0990 0.0000 4.3853
Ga 2.4131 0.0000 1.1399
Ga 11.3855 0.0000 4.9696
Si 6.8993 0.0000 3.0547
```

## Properties
* formation energy without anion corrections: -76 kJ/mol of formula units
* N(E_F): 2.6 states/eV per cell
* raw total energy: -2.274 eV/atom
* mass density: 2.64 Mg/m³